The following is a PBE calculation of a relaxed structure of Ac12DySn7, from Alexandria.

Computed properties:
The final energy comes out at -4.367 eV/atom. The calculation puts the energy relative to the elements at -0.27 eV per atom. The density of states at the Fermi level comes out at 1.39 states/eV/atom. Its space group is R-3, No. 148.

abc: 10.2450 10.2450 10.2450
angles: 107.57 107.57 107.57
Fractional positions:
1 Sn 0.9595 0.6621 0.8818
2 Sn 0.8818 0.9595 0.6621
3 Sn 0.1182 0.0405 0.3379
4 Sn 0.5000 0.5000 0.5000
5 Sn 0.3379 0.1182 0.0405
6 Sn 0.6621 0.8818 0.9595
7 Sn 0.0405 0.3379 0.1182
8 Ac 0.6100 0.5228 0.8503
9 Ac 0.3106 0.7695 0.9235
10 Ac 0.3900 0.4772 0.1497
11 Ac 0.1497 0.3900 0.4772
12 Ac 0.2305 0.0765 0.6894
13 Ac 0.4772 0.1497 0.3900
14 Ac 0.7695 0.9235 0.3106
15 Ac 0.8503 0.6100 0.5228
16 Ac 0.0765 0.6894 0.2305
17 Ac 0.5228 0.8503 0.6100
18 Ac 0.9235 0.3106 0.7695
19 Ac 0.6894 0.2305 0.0765
20 Dy 0.0000 0.0000 0.0000